Version w
Compound: Pu2Pd2Pt
Source: the Alexandria database
Functional: PBE
Structure: relaxed

Computed properties:
magnetization: 10.975 Bohr magnetons per cell

Cell: 5.602 5.602 5.636 Å, 50.67 50.67 50.65°
Last column: magnetic moment on the atom in μB.
Atoms (fractional coordinates):
Pd 0.403 0.403 0.405  -0.04
Pu 0.211 0.211 0.210  5.29
Pt 0.000 0.000 0.000  0.03
Pd 0.597 0.597 0.595  -0.04
Pu 0.789 0.789 0.790  5.29

***

Version x
Compound: Pu2Pd2Pt
Source: the Alexandria database
Functional: PBE
Structure: relaxed

Computed properties:
magnetization: 21.158 Bohr magnetons per cell

Cell: 5.179 5.179 9.567 Å, 90.64 90.64 49.90°
Last column: magnetic moment on the atom in μB.
Atoms (fractional coordinates):
Pt 0.750 0.250 0.750  -0.05
Pd 0.350 0.850 0.538  -0.05
Pu 0.439 0.939 0.847  5.18
Pd 0.850 0.350 0.038  -0.05
Pd 0.650 0.150 0.462  -0.05
Pu 0.939 0.439 0.347  5.18
Pd 0.150 0.650 0.962  -0.05
Pt 0.250 0.750 0.250  -0.05
Pu 0.561 0.061 0.153  5.18
Pu 0.061 0.561 0.653  5.18

***

Q: What are the energies relative to the best structure? A: version w 2.7; version x 0.0, in kJ/mol of atoms.

***

Version w
Compound: PuPd2Pt
Source: the Alexandria database
Functional: PBE
Structure: relaxed

Computed properties:
magnetization: 4.496 Bohr magnetons per cell

Cell: 4.174 4.133 4.133 Å, 90.00 90.00 90.00°
Last column: magnetic moment on the atom in μB.
Atoms (fractional coordinates):
Pt 0.500 0.500 0.500  -0.13
Pd 0.000 0.000 0.500  -0.07
Pd 0.000 0.500 0.000  -0.07
Pu 0.500 0.000 0.000  4.73

***

Version x
Compound: PuPd2Pt
Source: the Alexandria database
Functional: PBE
Structure: relaxed

Computed properties:
magnetization: 4.933 Bohr magnetons per cell

Cell: 4.685 4.685 4.685 Å, 60.00 60.00 60.00°
Last column: magnetic moment on the atom in μB.
Atoms (fractional coordinates):
Pu 0.000 0.000 0.000  4.95
Pd 0.250 0.250 0.250  -0.08
Pd 0.750 0.750 0.750  -0.08
Pt 0.500 0.500 0.500  -0.04

***

Q: What are the energies relative to the best structure? A: version w 0.0; version x 14.3, in kJ/mol of atoms.

***

Version w
Compound: Pu3PdPt
Source: the Alexandria database
Functional: PBE
Structure: relaxed

Computed properties:
magnetization: 10.979 Bohr magnetons per cell

Cell: 4.620 7.401 6.823 Å, 77.04 90.01 108.18°
Last column: magnetic moment on the atom in μB.
Atoms (fractional coordinates):
Pu 0.044 0.121 0.450  -4.77
Pd 0.820 0.674 0.775  -0.03
Pu 0.793 0.619 0.367  5.18
Pu 0.000 0.034 0.977  4.83
Pt 0.423 0.879 0.227  -0.10
Pu 0.592 0.217 0.789  -4.11
Pt 0.623 0.279 0.197  0.02
Pu 0.256 0.544 0.047  5.19
Pd 0.220 0.473 0.642  0.03
Pu 0.449 0.932 0.637  4.15

***

Version x
Compound: Pu3PdPt
Source: the Alexandria database
Functional: PBE
Structure: relaxed

Computed properties:
magnetization: 16.985 Bohr magnetons per cell

Cell: 3.537 7.980 5.593 Å, 90.00 50.78 90.00°
Last column: magnetic moment on the atom in μB.
Atoms (fractional coordinates):
Pt 0.997 0.645 0.821  -0.10
Pd 0.487 0.145 0.321  -0.02
Pu 0.000 0.645 0.321  5.31
Pu 0.485 0.327 0.821  5.48
Pu 0.485 0.963 0.821  5.48

***

Q: What are the energies relative to the best structure? A: version w 0.0; version x 14.5, in kJ/mol of atoms.

***

Version w
Compound: Pu3Pd2Pt
Source: the Alexandria database
Functional: PBE
Structure: relaxed

Computed properties:
magnetization: 33.417 Bohr magnetons per cell

Cell: 3.534 4.946 14.939 Å, 90.00 90.00 90.00°
Last column: magnetic moment on the atom in μB.
Atoms (fractional coordinates):
Pu 0.500 0.500 0.661  5.29
Pd 0.000 0.000 0.326  -0.01
Pd 0.000 0.500 0.826  -0.01
Pd 0.000 0.500 0.174  -0.01
Pu 0.499 0.000 0.500  5.36
Pd 0.000 0.000 0.674  -0.01
Pu 0.500 0.000 0.161  5.29
Pt 0.001 0.000 0.000  -0.07
Pu 0.501 0.500 0.000  5.36
Pt 0.999 0.500 0.500  -0.07
Pu 0.500 0.000 0.839  5.29
Pu 0.500 0.500 0.339  5.29

***

Version x
Compound: Pu3Pd2Pt
Source: the Alexandria database
Functional: PBE
Structure: relaxed

Computed properties:
magnetization: 16.713 Bohr magnetons per cell

Cell: 3.504 3.504 10.632 Å, 90.00 90.00 90.00°
Last column: magnetic moment on the atom in μB.
Atoms (fractional coordinates):
Pu 0.000 0.000 0.663  5.31
Pu 0.000 0.000 0.000  5.33
Pd 0.500 0.500 0.834  -0.02
Pd 0.500 0.500 0.166  -0.02
Pt 0.500 0.500 0.500  -0.06
Pu 0.000 0.000 0.337  5.31

***

Q: What are the energies relative to the best structure? A: version w 0.0; version x 0.6, in kJ/mol of atoms.